A relaxed Li2HfPd2 crystal. Source: Alexandria, functional PBE.

Summary:
Energy of formation, kcal/mol of atoms: -10.2
Theoretical density, g cm⁻³: 8.19
Total moment, μB per formula unit: 0.00
Space group: I4/mmm
Relative energy among the computed polymorphs, eV per formula unit: 0.27

a = 7.2267 Å, b = 7.2267 Å, c = 7.2267 Å
α = 152.15°, β = 152.15°, γ = 39.79°
Element x y z (fractional)
Li 0.2500 0.7500 0.5000
Li 0.7500 0.2500 0.5000
Hf 0.0000 0.0000 0.0000
Pd 0.3993 0.3993 0.0000
Pd 0.6007 0.6007 0.0000

A relaxed LiHf2Pd3 crystal. Source: Alexandria, functional PBE.

Summary:
Energy of formation, kcal/mol of atoms: -14.6
Theoretical density, g cm⁻³: 11.17
Total moment, μB per formula unit: 0.00
Space group: P4/mmm
Relative energy among the computed polymorphs, eV per formula unit: 0.00

a = 3.2532 Å, b = 3.2532 Å, c = 9.5980 Å
α = 90.00°, β = 90.00°, γ = 90.00°
Element x y z (fractional)
Li 0.0000 0.0000 0.0000
Hf 0.0000 0.0000 0.3181
Hf 0.0000 0.0000 0.6819
Pd 0.5000 0.5000 0.1524
Pd 0.5000 0.5000 0.5000
Pd 0.5000 0.5000 0.8476

A relaxed LiHf2Pd3 crystal. Source: Alexandria, functional PBE.

Summary:
Energy of formation, kcal/mol of atoms: -14.5
Theoretical density, g cm⁻³: 10.99
Total moment, μB per formula unit: 0.00
Space group: P-3m1
Relative energy among the computed polymorphs, eV per formula unit: 0.03

a = 4.6013 Å, b = 4.6013 Å, c = 11.2553 Å
α = 90.00°, β = 90.00°, γ = 120.00°
Element x y z (fractional)
Li 0.3333 0.6667 0.1662
Li 0.6667 0.3333 0.8338
Hf 0.0000 0.0000 0.0000
Hf 0.0000 0.0000 0.5000
Hf 0.3333 0.6667 0.6839
Hf 0.6667 0.3333 0.3161
Pd 0.0000 0.0000 0.2492
Pd 0.0000 0.0000 0.7508
Pd 0.3333 0.6667 0.4303
Pd 0.3333 0.6667 0.9248
Pd 0.6667 0.3333 0.0752
Pd 0.6667 0.3333 0.5697

A relaxed Li2HfPd4 crystal. Source: Alexandria, functional PBE.

Summary:
Energy of formation, kcal/mol of atoms: -12.7
Theoretical density, g cm⁻³: 9.32
Total moment, μB per formula unit: 0.00
Space group: P1
Relative energy among the computed polymorphs, eV per formula unit: 0.00

a = 5.6007 Å, b = 6.4476 Å, c = 6.8805 Å
α = 111.63°, β = 93.06°, γ = 104.90°
Element x y z (fractional)
Li 0.0000 0.0000 0.0000
Li 0.1120 0.2755 0.4026
Li 0.3786 0.4678 0.1218
Li 0.4910 0.9863 0.9886
Hf 0.7476 0.1776 0.6800
Hf 0.9352 0.6989 0.5348
Pd 0.1436 0.5790 0.8303
Pd 0.2243 0.8540 0.2717
Pd 0.2418 0.1464 0.7079
Pd 0.4450 0.7335 0.5665
Pd 0.5778 0.2892 0.3833
Pd 0.6450 0.5818 0.8322
Pd 0.7360 0.8730 0.2761
Pd 0.8624 0.4166 0.1052

A relaxed Li5HfPd6 crystal. Source: Alexandria, functional PBE.

Summary:
Energy of formation, kcal/mol of atoms: -12.7
Theoretical density, g cm⁻³: 8.23
Total moment, μB per formula unit: 0.00
Space group: P2/m

a = 4.3758 Å, b = 6.0930 Å, c = 6.8042 Å
α = 90.00°, β = 108.60°, γ = 90.00°
Element x y z (fractional)
Li 0.0000 0.0000 0.0000
Li 0.3304 0.5000 0.6605
Li 0.3325 0.0000 0.6666
Li 0.6675 0.0000 0.3334
Li 0.6696 0.5000 0.3395
Hf 0.0000 0.5000 0.0000
Pd 0.1692 0.2461 0.3365
Pd 0.1692 0.7539 0.3365
Pd 0.5000 0.2403 0.0000
Pd 0.5000 0.7597 0.0000
Pd 0.8308 0.2461 0.6635
Pd 0.8308 0.7539 0.6635

A relaxed Li2HfPd5 crystal. Source: Alexandria, functional PBE.

Summary:
Energy of formation, kcal/mol of atoms: -12.4
Theoretical density, g cm⁻³: 10.00
Total moment, μB per formula unit: 0.00
Space group: I4/mcm
Relative energy among the computed polymorphs, eV per formula unit: 0.78

a = 7.1829 Å, b = 7.1829 Å, c = 7.1829 Å
α = 124.76°, β = 124.76°, γ = 81.93°
Element x y z (fractional)
Li 0.1464 0.6464 0.7928
Li 0.3536 0.1464 0.5000
Li 0.6464 0.8536 0.5000
Li 0.8536 0.3536 0.2072
Hf 0.2500 0.2500 0.0000
Hf 0.7500 0.7500 0.0000
Pd 0.0000 0.0000 0.0000
Pd 0.0047 0.8017 0.5000
Pd 0.1983 0.6983 0.2030
Pd 0.3017 0.5047 0.5000
Pd 0.4953 0.9953 0.7970
Pd 0.5000 0.5000 0.0000
Pd 0.5047 0.0047 0.2030
Pd 0.6983 0.4953 0.5000
Pd 0.8017 0.3017 0.7970
Pd 0.9953 0.1983 0.5000

A relaxed Li2HfPd crystal. Source: Alexandria, functional PBE.

Summary:
Energy of formation, kcal/mol of atoms: 1.1
Theoretical density, g cm⁻³: 8.20
Total moment, μB per formula unit: 0.00
Space group: Fm-3m
Relative energy among the computed polymorphs, eV per formula unit: 0.17

a = 4.4074 Å, b = 4.4074 Å, c = 4.4074 Å
α = 60.00°, β = 60.00°, γ = 60.00°
Element x y z (fractional)
Li 0.2500 0.2500 0.2500
Li 0.7500 0.7500 0.7500
Hf 0.0000 0.0000 0.0000
Pd 0.5000 0.5000 0.5000

A relaxed Li2HfPd6 crystal. Source: Alexandria, functional PBE.

Summary:
Energy of formation, kcal/mol of atoms: -8.2
Theoretical density, g cm⁻³: 9.45
Total moment, μB per formula unit: 0.00
Space group: Immm

a = 7.8802 Å, b = 7.8802 Å, c = 7.8802 Å
α = 158.75°, β = 124.23°, γ = 60.36°
Element x y z (fractional)
Li 0.1691 0.1691 0.0000
Li 0.8309 0.8309 0.0000
Hf 0.5000 0.5000 0.0000
Pd 0.1382 0.3332 0.8049
Pd 0.1902 0.0000 0.1902
Pd 0.4717 0.6668 0.8049
Pd 0.5283 0.3332 0.1951
Pd 0.8098 0.0000 0.8098
Pd 0.8618 0.6668 0.1951

A relaxed Li4HfPd5 crystal. Source: Alexandria, functional PBE.

Summary:
Energy of formation, kcal/mol of atoms: -11.7
Theoretical density, g cm⁻³: 8.30
Total moment, μB per formula unit: 0.00
Space group: P4/mmm

a = 3.1721 Å, b = 3.1721 Å, c = 14.6862 Å
α = 90.00°, β = 90.00°, γ = 90.00°
Element x y z (fractional)
Li 0.0000 0.0000 0.0956
Li 0.0000 0.0000 0.2837
Li 0.0000 0.0000 0.7163
Li 0.0000 0.0000 0.9044
Hf 0.0000 0.0000 0.5000
Pd 0.5000 0.5000 0.0000
Pd 0.5000 0.5000 0.1939
Pd 0.5000 0.5000 0.3896
Pd 0.5000 0.5000 0.6104
Pd 0.5000 0.5000 0.8061

A relaxed LiHfPd3 crystal. Source: Alexandria, functional PBE.

Summary:
Energy of formation, kcal/mol of atoms: -15.1
Theoretical density, g cm⁻³: 10.75
Total moment, μB per formula unit: 0.00
Space group: Cmc2_1
Relative energy among the computed polymorphs, eV per formula unit: 0.00

a = 7.1421 Å, b = 7.1421 Å, c = 5.4776 Å
α = 90.00°, β = 90.00°, γ = 146.07°
Element x y z (fractional)
Li 0.1937 0.8063 0.5000
Li 0.8063 0.1937 0.0000
Hf 0.4021 0.5979 0.6937
Hf 0.5979 0.4021 0.1937
Pd 0.0022 0.9978 0.4401
Pd 0.2022 0.7978 0.9775
Pd 0.3936 0.6064 0.1968
Pd 0.6064 0.3936 0.6968
Pd 0.7978 0.2022 0.4775
Pd 0.9978 0.0022 0.9401

A relaxed LiHf2Pd2 crystal. Source: Alexandria, functional PBE.

Summary:
Energy of formation, kcal/mol of atoms: -7.7
Theoretical density, g cm⁻³: 10.83
Total moment, μB per formula unit: 0.00
Space group: Cmmm
Relative energy among the computed polymorphs, eV per formula unit: 0.67

a = 9.3663 Å, b = 9.3663 Å, c = 2.9553 Å
α = 90.00°, β = 90.00°, γ = 160.05°
Element x y z (fractional)
Li 0.0000 0.0000 0.0000
Hf 0.1763 0.8237 0.0000
Hf 0.8237 0.1763 0.0000
Pd 0.4185 0.5815 0.5000
Pd 0.5815 0.4185 0.5000

A relaxed Li2Hf2Pd7 crystal. Source: Alexandria, functional PBE.

Summary:
Energy of formation, kcal/mol of atoms: -8.5
Theoretical density, g cm⁻³: 9.61
Total moment, μB per formula unit: 0.00
Space group: C2/m

a = 5.5596 Å, b = 5.5596 Å, c = 6.6717 Å
α = 101.55°, β = 101.55°, γ = 75.00°
Element x y z (fractional)
Li 0.1736 0.8264 0.0000
Li 0.8264 0.1736 0.0000
Hf 0.2980 0.2980 0.4684
Hf 0.7020 0.7020 0.5316
Pd 0.0000 0.0000 0.5000
Pd 0.0283 0.4362 0.7941
Pd 0.4362 0.0283 0.7941
Pd 0.4780 0.4780 0.1957
Pd 0.5220 0.5220 0.8043
Pd 0.5638 0.9717 0.2059
Pd 0.9717 0.5638 0.2059

A relaxed Li2HfPd crystal. Source: Alexandria, functional PBE.

Summary:
Energy of formation, kcal/mol of atoms: 4.3
Theoretical density, g cm⁻³: 7.11
Total moment, μB per formula unit: 0.00
Space group: I-42d
Relative energy among the computed polymorphs, eV per formula unit: 0.73

a = 5.7842 Å, b = 5.7842 Å, c = 5.7842 Å
α = 101.95°, β = 101.95°, γ = 125.86°
Element x y z (fractional)
Li 0.0833 0.6250 0.9583
Li 0.3750 0.3333 0.4583
Li 0.6667 0.1250 0.0417
Li 0.8750 0.9167 0.5417
Hf 0.2500 0.7500 0.5000
Hf 0.5000 0.5000 0.0000
Pd 0.0000 0.0000 0.0000
Pd 0.7500 0.2500 0.5000

A relaxed Li2HfPd8 crystal. Source: Alexandria, functional PBE.

Summary:
Energy of formation, kcal/mol of atoms: -11.2
Theoretical density, g cm⁻³: 10.26
Total moment, μB per formula unit: 0.00
Space group: C2/m

a = 7.3155 Å, b = 7.3155 Å, c = 6.2356 Å
α = 106.07°, β = 106.07°, γ = 31.92°
Element x y z (fractional)
Li 0.2268 0.2268 0.1461
Li 0.7732 0.7732 0.8539
Hf 0.5000 0.5000 0.5000
Pd 0.0450 0.0450 0.2276
Pd 0.1395 0.1395 0.6898
Pd 0.3177 0.3177 0.5821
Pd 0.4052 0.4052 0.0404
Pd 0.5948 0.5948 0.9596
Pd 0.6823 0.6823 0.4179
Pd 0.8605 0.8605 0.3102
Pd 0.9550 0.9550 0.7724

A relaxed Li2HfPd crystal. Source: Alexandria, functional PBE.

Summary:
Energy of formation, kcal/mol of atoms: 0.1
Theoretical density, g cm⁻³: 7.02
Total moment, μB per formula unit: 0.00
Space group: R-3m
Relative energy among the computed polymorphs, eV per formula unit: 0.00

a = 10.1096 Å, b = 10.1096 Å, c = 10.1096 Å
α = 16.27°, β = 16.27°, γ = 16.27°
Element x y z (fractional)
Li 0.0978 0.0978 0.0978
Li 0.9022 0.9022 0.9022
Hf 0.0000 0.0000 0.0000
Pd 0.5000 0.5000 0.5000

A relaxed LiHf3Pd12 crystal. Source: Alexandria, functional PBE.

Summary:
Energy of formation, kcal/mol of atoms: -17.0
Theoretical density, g cm⁻³: 11.91
Total moment, μB per formula unit: 0.00
Space group: P4/mmm

a = 4.0028 Å, b = 4.0028 Å, c = 15.8378 Å
α = 90.00°, β = 90.00°, γ = 90.00°
Element x y z (fractional)
Li 0.0000 0.0000 0.0000
Hf 0.0000 0.0000 0.2423
Hf 0.0000 0.0000 0.5000
Hf 0.0000 0.0000 0.7577
Pd 0.0000 0.5000 0.1230
Pd 0.0000 0.5000 0.3742
Pd 0.0000 0.5000 0.6258
Pd 0.0000 0.5000 0.8770
Pd 0.5000 0.0000 0.1230
Pd 0.5000 0.0000 0.3742
Pd 0.5000 0.0000 0.6258
Pd 0.5000 0.0000 0.8770
Pd 0.5000 0.5000 0.0000
Pd 0.5000 0.5000 0.2492
Pd 0.5000 0.5000 0.5000
Pd 0.5000 0.5000 0.7508

A relaxed Li2HfPd2 crystal. Source: Alexandria, functional PBE.

Summary:
Energy of formation, kcal/mol of atoms: -9.5
Theoretical density, g cm⁻³: 8.96
Total moment, μB per formula unit: 0.00
Space group: P4/mbm
Relative energy among the computed polymorphs, eV per formula unit: 0.41

a = 7.2091 Å, b = 7.2091 Å, c = 2.8896 Å
α = 90.00°, β = 90.00°, γ = 90.00°
Element x y z (fractional)
Li 0.1092 0.3908 0.0000
Li 0.3908 0.8908 0.0000
Li 0.6092 0.1092 0.0000
Li 0.8908 0.6092 0.0000
Hf 0.0000 0.0000 0.0000
Hf 0.5000 0.5000 0.0000
Pd 0.1907 0.6907 0.5000
Pd 0.3093 0.1907 0.5000
Pd 0.6907 0.8093 0.5000
Pd 0.8093 0.3093 0.5000

A relaxed Li3HfPd6 crystal. Source: Alexandria, functional PBE.

Summary:
Energy of formation, kcal/mol of atoms: -11.9
Theoretical density, g cm⁻³: 9.08
Total moment, μB per formula unit: 0.00
Space group: P2_1/m
Relative energy among the computed polymorphs, eV per formula unit: 0.33

a = 7.5421 Å, b = 4.5357 Å, c = 9.5162 Å
α = 90.00°, β = 109.71°, γ = 90.00°
Element x y z (fractional)
Li 0.0863 0.2500 0.2253
Li 0.0960 0.2500 0.7316
Li 0.3090 0.7500 0.8906
Li 0.6910 0.2500 0.1094
Li 0.9040 0.7500 0.2684
Li 0.9137 0.7500 0.7747
Hf 0.4925 0.7500 0.6605
Hf 0.5075 0.2500 0.3395
Pd 0.0987 0.7500 0.0570
Pd 0.1065 0.7500 0.5700
Pd 0.2845 0.2500 0.5200
Pd 0.2980 0.7500 0.3544
Pd 0.3001 0.2500 0.0496
Pd 0.4776 0.2500 0.8323
Pd 0.5224 0.7500 0.1677
Pd 0.6999 0.7500 0.9504
Pd 0.7020 0.2500 0.6456
Pd 0.7155 0.7500 0.4800
Pd 0.8935 0.2500 0.4300
Pd 0.9013 0.2500 0.9430

A relaxed LiHf2Pd2 crystal. Source: Alexandria, functional PBE.

Summary:
Energy of formation, kcal/mol of atoms: -10.8
Theoretical density, g cm⁻³: 10.13
Total moment, μB per formula unit: 0.00
Space group: P4/mbm
Relative energy among the computed polymorphs, eV per formula unit: 0.00

a = 7.6408 Å, b = 7.6408 Å, c = 3.2403 Å
α = 90.00°, β = 90.00°, γ = 90.00°
Element x y z (fractional)
Li 0.0000 0.0000 0.0000
Li 0.5000 0.5000 0.0000
Hf 0.1629 0.3371 0.5000
Hf 0.3371 0.8371 0.5000
Hf 0.6629 0.1629 0.5000
Hf 0.8371 0.6629 0.5000
Pd 0.1348 0.6348 0.0000
Pd 0.3652 0.1348 0.0000
Pd 0.6348 0.8652 0.0000
Pd 0.8652 0.3652 0.0000

A relaxed Li3HfPd7 crystal. Source: Alexandria, functional PBE.

Summary:
Energy of formation, kcal/mol of atoms: -6.3
Theoretical density, g cm⁻³: 8.88
Total moment, μB per formula unit: 0.00
Space group: C2/m

a = 6.1317 Å, b = 6.1317 Å, c = 5.1701 Å
α = 106.17°, β = 106.17°, γ = 94.62°
Element x y z (fractional)
Li 0.0000 0.0000 0.0000
Li 0.2282 0.7718 0.5000
Li 0.7718 0.2282 0.5000
Hf 0.5000 0.5000 0.0000
Pd 0.0559 0.5850 0.8116
Pd 0.1835 0.1835 0.5451
Pd 0.4150 0.9441 0.1884
Pd 0.5000 0.5000 0.5000
Pd 0.5850 0.0559 0.8116
Pd 0.8165 0.8165 0.4549
Pd 0.9441 0.4150 0.1884

A relaxed LiHfPd3 crystal. Source: Alexandria, functional PBE.

Summary:
Energy of formation, kcal/mol of atoms: -4.3
Theoretical density, g cm⁻³: 10.71
Total moment, μB per formula unit: 0.00
Space group: Pm-3m
Relative energy among the computed polymorphs, eV per formula unit: 2.33

a = 4.2767 Å, b = 4.2767 Å, c = 4.2767 Å
α = 90.00°, β = 90.00°, γ = 90.00°
Element x y z (fractional)
Li 0.0000 0.0000 0.0000
Hf 0.5000 0.5000 0.5000
Pd 0.0000 0.0000 0.5000
Pd 0.0000 0.5000 0.0000
Pd 0.5000 0.0000 0.0000

A relaxed Li2HfPd5 crystal. Source: Alexandria, functional PBE.

Summary:
Energy of formation, kcal/mol of atoms: -14.7
Theoretical density, g cm⁻³: 10.17
Total moment, μB per formula unit: 0.00
Space group: I4/mmm
Relative energy among the computed polymorphs, eV per formula unit: 0.00

a = 7.5468 Å, b = 7.5468 Å, c = 7.5468 Å
α = 148.30°, β = 148.30°, γ = 45.45°
Element x y z (fractional)
Li 0.2490 0.2490 0.0000
Li 0.7510 0.7510 0.0000
Hf 0.0000 0.0000 0.0000
Pd 0.1361 0.6361 0.5000
Pd 0.3639 0.8639 0.5000
Pd 0.5000 0.5000 0.0000
Pd 0.6361 0.1361 0.5000
Pd 0.8639 0.3639 0.5000